Entry 1:
# Ac3Pr12Ho, optimized geometry, DFT PBE-GGA
data_Ac3Pr12Ho
_symmetry_space_group_name_H-M 'P 4/m m m'
_symmetry_Int_Tables_number 123
_symmetry_space_group_name_Hall '-P 4 2'
_cell_length_a 5.3100
_cell_length_b 5.3100
_cell_length_c 21.1780
_cell_angle_alpha 90.00
_cell_angle_beta 90.00
_cell_angle_gamma 90.00
loop_
_atom_site_label
_atom_site_type_symbol
_atom_site_fract_x
_atom_site_fract_y
_atom_site_fract_z
Ac1 Ac 0.0000 0.0000 0.0000
Ac2 Ac 0.0000 0.0000 0.2528
Pr1 Pr 0.0000 0.5000 0.1263
Pr2 Pr 0.0000 0.5000 0.3804
Pr3 Pr 0.5000 0.5000 0.0000
Pr4 Pr 0.5000 0.5000 0.2540
Pr5 Pr 0.5000 0.5000 0.5000
Ho1 Ho 0.0000 0.0000 0.5000
# Total moment (μB/f.u.): 0.00
# Electronic total energy (eV/atom): -4.622
# ΔH_f (0 K) (meV per atom): 19

Entry 2:
# Pm6Ir3Ru, optimized geometry, DFT PBE-GGA
data_Pm6Ir3Ru
_symmetry_space_group_name_H-M 'P 1 21/c 1'
_symmetry_Int_Tables_number 14
_cell_length_a 7.1094
_cell_length_b 7.4378
_cell_length_c 12.1259
_cell_angle_alpha 90.00
_cell_angle_beta 123.04
_cell_angle_gamma 90.00
loop_
_symmetry_equiv_pos_as_xyz
'x,y,z'
'-x,-y,-z'
'-x,y+1/2,-z+1/2'
'x,-y+1/2,z+1/2'
loop_
_atom_site_label
_atom_site_type_symbol
_atom_site_fract_x
_atom_site_fract_y
_atom_site_fract_z
Pm1 Pm 0.0747 0.0495 0.2502
Pm2 Pm 0.2554 0.6711 0.0840
Pm3 Pm 0.3977 0.1715 0.0670
Ir1 Ir 0.0000 0.0000 0.0000
Ir2 Ir 0.3163 0.1261 0.7838
Ru1 Ru 0.5000 0.0000 0.5000
# Total moment (μB/f.u.): 0.00
# Electronic total energy (eV/atom): -6.893
# ΔH_f (0 K) (meV per atom): -457
# Energy above the lowest structure with this stoichiometry (eV/atom): 0.0140

Entry 3:
# BaY2Te, optimized geometry, DFT PBE-GGA
data_BaY2Te
_symmetry_space_group_name_H-M 'R -3 m'
_symmetry_Int_Tables_number 166
_symmetry_space_group_name_Hall '-R 3 2"'
_cell_length_a 4.0828
_cell_length_b 4.0828
_cell_length_c 31.5077
_cell_angle_alpha 90.00
_cell_angle_beta 90.00
_cell_angle_gamma 120.00
loop_
_atom_site_label
_atom_site_type_symbol
_atom_site_fract_x
_atom_site_fract_y
_atom_site_fract_z
Ba1 Ba 0.0000 0.0000 0.0000
Y1 Y 0.0000 0.0000 0.2278
Te1 Te 0.0000 0.0000 0.5000
# Total moment (μB/f.u.): 0.00
# Electronic total energy (eV/atom): -4.983

Entry 4:
# ZnFe2NiS, optimized geometry, DFT PBE-GGA
data_ZnFe2NiS
_symmetry_space_group_name_H-M 'P 4/m m m'
_symmetry_Int_Tables_number 123
_symmetry_space_group_name_Hall '-P 4 2'
_cell_length_a 4.4789
_cell_length_b 4.4789
_cell_length_c 4.3121
_cell_angle_alpha 90.00
_cell_angle_beta 90.00
_cell_angle_gamma 90.00
loop_
_atom_site_label
_atom_site_type_symbol
_atom_site_fract_x
_atom_site_fract_y
_atom_site_fract_z
Zn1 Zn 0.0000 0.0000 0.0000
Fe1 Fe 0.0000 0.5000 0.0000
Ni1 Ni 0.0000 0.0000 0.5000
S1 S 0.5000 0.5000 0.5000
# Total moment (μB/f.u.): 6.09
# Electronic total energy (eV/atom): -4.477

Entry 5:
# Tb3PrSe4, optimized geometry, DFT PBE-GGA
data_Tb3PrSe4
_symmetry_space_group_name_H-M 'C m m m'
_symmetry_Int_Tables_number 65
_symmetry_space_group_name_Hall '-C 2 2'
_cell_length_a 8.3913
_cell_length_b 11.7138
_cell_length_c 4.0823
_cell_angle_alpha 90.00
_cell_angle_beta 90.00
_cell_angle_gamma 90.00
loop_
_atom_site_label
_atom_site_type_symbol
_atom_site_fract_x
_atom_site_fract_y
_atom_site_fract_z
Tb1 Tb 0.0000 0.0000 0.0000
Tb2 Tb 0.2500 0.2500 0.5000
Pr1 Pr 0.0000 0.5000 0.0000
Se1 Se 0.0000 0.2451 0.0000
Se2 Se 0.2400 0.0000 0.5000
# Total moment (μB/f.u.): 0.00
# Electronic total energy (eV/atom): -5.861

Entry 6:
# HfPa2NbN6, optimized geometry, DFT PBE-GGA
data_HfPa2NbN6
_symmetry_space_group_name_H-M 'P 4 m m'
_symmetry_Int_Tables_number 99
_cell_length_a 5.3523
_cell_length_b 5.3523
_cell_length_c 5.1258
_cell_angle_alpha 90.00
_cell_angle_beta 90.00
_cell_angle_gamma 90.00
loop_
_symmetry_equiv_pos_as_xyz
'x,y,z'
'-y,x,z'
'-x,-y,z'
'y,-x,z'
'-x,y,z'
'y,x,z'
'x,-y,z'
'-y,-x,z'
loop_
_atom_site_label
_atom_site_type_symbol
_atom_site_fract_x
_atom_site_fract_y
_atom_site_fract_z
Hf1 Hf 0.0000 0.0000 0.0000
Pa1 Pa 0.0000 0.5000 0.4146
Nb1 Nb 0.5000 0.5000 0.0046
N1 N 0.0000 0.0000 0.6058
N2 N 0.2528 0.2528 0.1739
N3 N 0.5000 0.5000 0.6307
# Total moment (μB/f.u.): 0.86
# Electronic total energy (eV/atom): -10.184

Entry 7:
# FeMoRu2, optimized geometry, DFT PBE-GGA
data_FeMoRu2
_symmetry_space_group_name_H-M 'F -4 3 m'
_symmetry_Int_Tables_number 216
_symmetry_space_group_name_Hall 'F -4 2 3'
_cell_length_a 6.0995
_cell_length_b 6.0995
_cell_length_c 6.0995
_cell_angle_alpha 90.00
_cell_angle_beta 90.00
_cell_angle_gamma 90.00
loop_
_atom_site_label
_atom_site_type_symbol
_atom_site_fract_x
_atom_site_fract_y
_atom_site_fract_z
Fe1 Fe 0.0000 0.0000 0.0000
Mo1 Mo 0.2500 0.2500 0.7500
Ru1 Ru 0.0000 0.0000 0.5000
Ru2 Ru 0.2500 0.2500 0.2500
# Total moment (μB/f.u.): 3.61
# Electronic total energy (eV/atom): -9.156
# ΔH_f (0 K) (meV per atom): 306
# Energy above the lowest structure with this stoichiometry (eV/atom): 0.2663

Entry 8:
# RuPbW, optimized geometry, DFT PBE-GGA
data_RuPbW
_symmetry_space_group_name_H-M 'P 3 m 1'
_symmetry_Int_Tables_number 156
_cell_length_a 3.0116
_cell_length_b 3.0116
_cell_length_c 7.1061
_cell_angle_alpha 90.00
_cell_angle_beta 90.00
_cell_angle_gamma 120.00
loop_
_symmetry_equiv_pos_as_xyz
'x,y,z'
'-y,x-y,z'
'-x+y,-x,z'
'-y,-x,z'
'-x+y,y,z'
'x,x-y,z'
loop_
_atom_site_label
_atom_site_type_symbol
_atom_site_fract_x
_atom_site_fract_y
_atom_site_fract_z
Ru1 Ru 0.0000 0.0000 0.0000
Pb1 Pb 0.3333 0.6667 0.6432
W1 W 0.6667 0.3333 0.2734
# Total moment (μB/f.u.): 0.00
# Electronic total energy (eV/atom): -8.044
# ΔH_f (0 K) (meV per atom): 602

Entry 9:
# CaAc2InAg6, optimized geometry, DFT PBE-GGA
data_CaAc2InAg6
_symmetry_space_group_name_H-M 'F m -3 m'
_symmetry_Int_Tables_number 225
_symmetry_space_group_name_Hall '-F 4 2 3'
_cell_length_a 10.6750
_cell_length_b 10.6750
_cell_length_c 10.6750
_cell_angle_alpha 90.00
_cell_angle_beta 90.00
_cell_angle_gamma 90.00
loop_
_atom_site_label
_atom_site_type_symbol
_atom_site_fract_x
_atom_site_fract_y
_atom_site_fract_z
Ca1 Ca 0.0000 0.0000 0.0000
Ac1 Ac 0.2500 0.2500 0.2500
In1 In 0.0000 0.0000 0.5000
Ag1 Ag 0.0000 0.0000 0.2548
# Total moment (μB/f.u.): 0.00
# Electronic total energy (eV/atom): -2.782
# ΔH_f (0 K) (meV per atom): 224

Entry 10:
# RbSn3Au2, optimized geometry, DFT PBE-GGA
data_RbSn3Au2
_symmetry_space_group_name_H-M 'C 1 2/m 1'
_symmetry_Int_Tables_number 12
_cell_length_a 18.6319
_cell_length_b 4.7298
_cell_length_c 11.6720
_cell_angle_alpha 90.00
_cell_angle_beta 104.76
_cell_angle_gamma 90.00
loop_
_symmetry_equiv_pos_as_xyz
'x,y,z'
'-x,-y,-z'
'-x,y,-z'
'x,-y,z'
'x+1/2,y+1/2,z'
'-x+1/2,-y+1/2,-z'
'-x+1/2,y+1/2,-z'
'x+1/2,-y+1/2,z'
loop_
_atom_site_label
_atom_site_type_symbol
_atom_site_fract_x
_atom_site_fract_y
_atom_site_fract_z
Rb1 Rb 0.0000 0.0000 0.0000
Rb2 Rb 0.1603 0.0000 0.7075
Sn1 Sn 0.0000 0.5000 0.5000
Sn2 Sn 0.0376 0.0000 0.3492
Sn3 Sn 0.1218 0.5000 0.2006
Sn4 Sn 0.1731 0.5000 0.9654
Sn5 Sn 0.2090 0.0000 0.3740
Au1 Au 0.0343 0.5000 0.7932
Au2 Au 0.1496 0.5000 0.4633
Au3 Au 0.1963 0.0000 0.1180
# Total moment (μB/f.u.): 0.00
# Electronic total energy (eV/atom): -3.484
# ΔH_f (0 K) (meV per atom): -228
# Energy above the lowest structure with this stoichiometry (eV/atom): 0.0000

Entry 11:
# Pm3Y3Tm8, optimized geometry, DFT PBE-GGA
data_Pm3Y3Tm8
_symmetry_space_group_name_H-M 'I m m m'
_symmetry_Int_Tables_number 71
_symmetry_space_group_name_Hall '-I 2 2'
_cell_length_a 5.5907
_cell_length_b 10.6953
_cell_length_c 14.9838
_cell_angle_alpha 90.00
_cell_angle_beta 90.00
_cell_angle_gamma 90.00
loop_
_atom_site_label
_atom_site_type_symbol
_atom_site_fract_x
_atom_site_fract_y
_atom_site_fract_z
Pm1 Pm 0.0000 0.0000 0.0000
Pm2 Pm 0.0000 0.2990 0.0000
Y1 Y 0.0000 0.0000 0.5000
Y2 Y 0.0000 0.5000 0.1851
Tm1 Tm 0.0000 0.1598 0.2214
Tm2 Tm 0.0000 0.3412 0.3961
# Total moment (μB/f.u.): 0.00
# Electronic total energy (eV/atom): -4.840
# ΔH_f (0 K) (meV per atom): 118
# Energy above the lowest structure with this stoichiometry (eV/atom): 0.0028

Entry 12:
# Sm8Hg2Os, optimized geometry, DFT PBE-GGA
data_Sm8Hg2Os
_symmetry_space_group_name_H-M 'I m m m'
_symmetry_Int_Tables_number 71
_symmetry_space_group_name_Hall '-I 2 2'
_cell_length_a 5.0444
_cell_length_b 8.5454
_cell_length_c 14.6497
_cell_angle_alpha 90.00
_cell_angle_beta 90.00
_cell_angle_gamma 90.00
loop_
_atom_site_label
_atom_site_type_symbol
_atom_site_fract_x
_atom_site_fract_y
_atom_site_fract_z
Sm1 Sm 0.0000 0.0000 0.1186
Sm2 Sm 0.0000 0.2346 0.3491
Sm3 Sm 0.0000 0.3321 0.0000
Hg1 Hg 0.0000 0.5000 0.1990
Os1 Os 0.0000 0.5000 0.5000
# Total moment (μB/f.u.): 0.00
# Electronic total energy (eV/atom): -4.598
# ΔH_f (0 K) (meV per atom): -90
# Energy above the lowest structure with this stoichiometry (eV/atom): 0.1124

Copy entry 1 word for word.
# Ac3Pr12Ho, optimized geometry, DFT PBE-GGA
data_Ac3Pr12Ho
_symmetry_space_group_name_H-M 'P 4/m m m'
_symmetry_Int_Tables_number 123
_symmetry_space_group_name_Hall '-P 4 2'
_cell_length_a 5.3100
_cell_length_b 5.3100
_cell_length_c 21.1780
_cell_angle_alpha 90.00
_cell_angle_beta 90.00
_cell_angle_gamma 90.00
loop_
_atom_site_label
_atom_site_type_symbol
_atom_site_fract_x
_atom_site_fract_y
_atom_site_fract_z
Ac1 Ac 0.0000 0.0000 0.0000
Ac2 Ac 0.0000 0.0000 0.2528
Pr1 Pr 0.0000 0.5000 0.1263
Pr2 Pr 0.0000 0.5000 0.3804
Pr3 Pr 0.5000 0.5000 0.0000
Pr4 Pr 0.5000 0.5000 0.2540
Pr5 Pr 0.5000 0.5000 0.5000
Ho1 Ho 0.0000 0.0000 0.5000
# Total moment (μB/f.u.): 0.00
# Electronic total energy (eV/atom): -4.622
# ΔH_f (0 K) (meV per atom): 19